Pb2WO | PBE+U | optimized geometry

```
Pb2WO
1.0
7.1396 0.0000 0.0000
0.0000 7.1396 0.0000
3.5698 3.5698 3.6297
Pb O W
4 2 2
direct
0.5542 0.1250 0.2500
0.1958 0.6250 0.2500
0.3750 0.4458 0.7500
0.8750 0.8042 0.7500
0.5000 0.5000 0.0000
0.2500 0.7500 0.5000
0.0000 0.0000 0.0000
0.7500 0.2500 0.5000
```

Values from the calculation:
D(E_F)	0.709	states/eV per atom
ρ	11.025	Mg/m³
crystal system	tetragonal
SG	No. 122
relative energy among the computed polymorphs	9	kJ/mol of formula units